1.
The following is a PBE with a Hubbard U calculation of an optimized crystal structure of Ac2NpNiO8, from Alexandria.

Results
Total DFT energy (no corrections) = -7.787 eV/atom

Cell lengths 4.5216, 5.4501, 7.7660 Å; angles 78.88, 96.16, 99.78 degrees
Closest atoms and distances in Å follow each position.
Atoms (fractional coordinates):
Ac 0.4437 0.5687 0.7312  6 O 2.46-2.72
Ac 0.5563 0.4313 0.2688  6 O 2.46-2.72
Np 0.0000 0.0000 0.0000  4 O 1.92-1.98
Ni 0.0000 0.0000 0.5000  4 O 1.80-1.93
O 0.1044 0.7124 0.1655  1 Np 1.92
O 0.6018 0.7836 0.9928  1 Np 1.98
O 0.9786 0.1533 0.2541  1 Ni 1.93
O 0.8956 0.2876 0.8345  1 Np 1.92
O 0.3982 0.2164 0.0072  1 Np 1.98
O 0.0214 0.8466 0.7459  1 Ni 1.93
O 0.7018 0.7467 0.4620  1 Ni 1.80
O 0.2982 0.2533 0.5380  1 Ni 1.80



2.
The following is a PBE with a Hubbard U calculation of an optimized crystal structure of AcNpNi2O6, from Alexandria.

Results
Total DFT energy (no corrections) = -7.437 eV/atom

Cell lengths 5.5979, 5.5969, 5.8556 Å; angles 61.46, 61.48, 60.03 degrees
Closest atoms and distances in Å follow each position.
Atoms (fractional coordinates):
Ac 0.7919 0.7916 0.6248  6 O 2.44-2.63
Np 0.3159 0.3158 0.0524  6 O 2.15-2.19
Ni 0.5244 0.5244 0.4269  6 O 2.05-2.24
Ni 0.0106 0.0107 0.9676  6 O 2.06-2.19
O 0.6193 0.2543 0.2280  2 Ni 2.05-2.19, 1 Np 2.19
O 0.2544 0.8983 0.2281  2 Ni 2.05-2.19, 1 Np 2.19
O 0.8983 0.6196 0.2277  2 Ni 2.05-2.19, 1 Np 2.19
O 0.3396 0.7268 0.7534  2 Ni 2.07-2.24, 1 Np 2.15
O 0.7268 0.1807 0.7530  2 Ni 2.06-2.24, 1 Np 2.15
O 0.1805 0.3395 0.7532  2 Ni 2.07-2.24, 1 Np 2.15



3.
The following is a PBE with a Hubbard U calculation of an optimized crystal structure of AcNpNiO6, from Alexandria.

Results
Total DFT energy (no corrections) = -7.739 eV/atom

Cell lengths 5.9692, 5.9692, 8.3854 Å; angles 90.00, 90.00, 120.00 degrees
Closest atoms and distances in Å follow each position.
Atoms (fractional coordinates):
Ac 0.3333 0.6667 0.2500  6 O 2.52
Ac 0.6667 0.3333 0.7500  6 O 2.52
Np 0.6667 0.3333 0.2500  6 O 2.03
Np 0.3333 0.6667 0.7500  6 O 2.03
Ni 0.0000 0.0000 0.0000  6 O 2.25
Ni 0.0000 0.0000 0.5000  6 O 2.25
O 0.6988 0.6361 0.1203  1 Np 2.03, 1 Ni 2.25
O 0.9373 0.3012 0.1203  1 Np 2.03, 1 Ni 2.25
O 0.3012 0.9373 0.6203  1 Np 2.03, 1 Ni 2.25
O 0.0627 0.6988 0.8797  1 Np 2.03, 1 Ni 2.25
O 0.3639 0.3012 0.3797  1 Np 2.03, 1 Ni 2.25
O 0.9373 0.6361 0.3797  1 Np 2.03, 1 Ni 2.25
O 0.6361 0.9373 0.8797  1 Np 2.03, 1 Ni 2.25
O 0.6988 0.0627 0.3797  1 Np 2.03, 1 Ni 2.25
O 0.0627 0.3639 0.6203  1 Np 2.03, 1 Ni 2.25
O 0.3639 0.0627 0.1203  1 Np 2.03, 1 Ni 2.25
O 0.6361 0.6988 0.6203  1 Np 2.03, 1 Ni 2.25
O 0.3012 0.3639 0.8797  1 Np 2.03, 1 Ni 2.25



4.
The following is a PBE with a Hubbard U calculation of an optimized crystal structure of Ac2NpNiO6, from Alexandria.

Results
Total DFT energy (no corrections) = -7.987 eV/atom

Cell lengths 5.8090, 6.1229, 8.4320 Å; angles 90.00, 90.00, 90.00 degrees
Closest atoms and distances in Å follow each position.
Atoms (fractional coordinates):
Ac 0.5000 0.7933 0.2712  3 O 2.50-2.77
Ac 0.0000 0.2067 0.7712  3 O 2.50-2.77
Ac 0.5000 0.7933 0.7288  3 O 2.50-2.77
Ac 0.0000 0.2067 0.2288  3 O 2.50-2.77
Np 0.5000 0.2863 0.5000  6 O 2.14-2.23
Np 0.0000 0.7137 0.0000  6 O 2.14-2.23
Ni 0.0000 0.7735 0.5000  6 O 2.03-2.08
Ni 0.5000 0.2265 0.0000  6 O 2.03-2.08
O 0.5000 0.1994 0.2429  1 Ni 2.05, 1 Np 2.23
O 0.5000 0.1994 0.7571  1 Ni 2.05, 1 Np 2.23
O 0.0000 0.8006 0.2571  1 Ni 2.05, 1 Np 2.23
O 0.0000 0.8006 0.7429  1 Ni 2.05, 1 Np 2.23
O 0.2497 0.0162 0.5000  1 Ni 2.08, 1 Np 2.20
O 0.7503 0.0162 0.5000  1 Ni 2.08, 1 Np 2.20
O 0.2565 0.5480 0.5000  1 Ni 2.03, 1 Np 2.14
O 0.7435 0.5480 0.5000  1 Ni 2.03, 1 Np 2.14
O 0.7565 0.4520 0.0000  1 Ni 2.03, 1 Np 2.14
O 0.2435 0.4520 0.0000  1 Ni 2.03, 1 Np 2.14
O 0.2503 0.9838 0.0000  1 Ni 2.08, 1 Np 2.20
O 0.7497 0.9838 0.0000  1 Ni 2.08, 1 Np 2.20